Record 1
Entry from Alexandria: a relaxed structure of Pr3Y7Er (PBE).

The structure in CIF format:
```
data_Pr3Y7Er
_symmetry_space_group_name_H-M 'P 1'
_symmetry_Int_Tables_number 1
_cell_length_a 6.9730
_cell_length_b 5.5669
_cell_length_c 10.1256
_cell_angle_alpha 90.00
_cell_angle_beta 108.41
_cell_angle_gamma 90.00
loop_
_symmetry_equiv_pos_as_xyz
'x,y,z'
loop_
_atom_site_label
_atom_site_type_symbol
_atom_site_fract_x
_atom_site_fract_y
_atom_site_fract_z
Pr1 Pr 0.0000 0.0000 0.0000
Pr2 Pr 0.2788 0.5000 0.4937
Pr3 Pr 0.7212 0.5000 0.5063
Y1 Y 0.0000 0.0000 0.5000
Y2 Y 0.1504 0.5000 0.7875
Y3 Y 0.3203 0.5000 0.1328
Y4 Y 0.4296 0.0000 0.3287
Y5 Y 0.5704 0.0000 0.6713
Y6 Y 0.6797 0.5000 0.8672
Y7 Y 0.8496 0.5000 0.2125
Er1 Er 0.5000 0.0000 0.0000
```

Calculated values
**Crystal system**: monoclinic
**E_form**: 0.14 eV/atom
**Calculated total energy**: -62.60 eV/cell
**SG**: P2/m (10)

***

Record 2
Entry from Alexandria: a relaxed structure of PrY10Er4 (PBE).

The structure in CIF format:
```
data_PrY10Er4
_symmetry_space_group_name_H-M 'P 1'
_symmetry_Int_Tables_number 1
_cell_length_a 8.7849
_cell_length_b 8.7849
_cell_length_c 8.7849
_cell_angle_alpha 111.59
_cell_angle_beta 111.59
_cell_angle_gamma 105.31
loop_
_symmetry_equiv_pos_as_xyz
'x,y,z'
loop_
_atom_site_label
_atom_site_type_symbol
_atom_site_fract_x
_atom_site_fract_y
_atom_site_fract_z
Pr1 Pr 0.0000 0.0000 0.0000
Y1 Y 0.0462 0.3875 0.0932
Y2 Y 0.0470 0.9538 0.3413
Y3 Y 0.2500 0.7500 0.5000
Y4 Y 0.2943 0.9530 0.9068
Y5 Y 0.3875 0.2943 0.3413
Y6 Y 0.6125 0.7057 0.6587
Y7 Y 0.7057 0.0470 0.0932
Y8 Y 0.7500 0.2500 0.5000
Y9 Y 0.9530 0.0462 0.6587
Y10 Y 0.9538 0.6125 0.9068
Er1 Er 0.2222 0.4494 0.6716
Er2 Er 0.4494 0.7778 0.2272
Er3 Er 0.5506 0.2222 0.7728
Er4 Er 0.7778 0.5506 0.3284
```

Calculated values
**Crystal system**: tetragonal
**E_form**: 0.50 eV/atom
**Calculated total energy**: -80.18 eV/cell
**SG**: I4/m (87)

***

Record 3
Entry from Alexandria: a relaxed structure of Pr4Y8Er3 (PBE).

The structure in CIF format:
```
data_Pr4Y8Er3
_symmetry_space_group_name_H-M 'P 1'
_symmetry_Int_Tables_number 1
_cell_length_a 12.5650
_cell_length_b 12.5650
_cell_length_c 12.5650
_cell_angle_alpha 32.38
_cell_angle_beta 32.38
_cell_angle_gamma 32.38
loop_
_symmetry_equiv_pos_as_xyz
'x,y,z'
loop_
_atom_site_label
_atom_site_type_symbol
_atom_site_fract_x
_atom_site_fract_y
_atom_site_fract_z
Pr1 Pr 0.0000 0.0000 0.0000
Pr2 Pr 0.1638 0.1638 0.1638
Pr3 Pr 0.5000 0.5000 0.5000
Pr4 Pr 0.8362 0.8362 0.8362
Y1 Y 0.2497 0.2497 0.7469
Y2 Y 0.2497 0.7469 0.2497
Y3 Y 0.2531 0.7503 0.7503
Y4 Y 0.2556 0.2556 0.2556
Y5 Y 0.7444 0.7444 0.7444
Y6 Y 0.7469 0.2497 0.2497
Y7 Y 0.7503 0.2531 0.7503
Y8 Y 0.7503 0.7503 0.2531
Er1 Er 0.0000 0.5000 0.5000
Er2 Er 0.5000 0.0000 0.5000
Er3 Er 0.5000 0.5000 0.0000
```

Calculated values
**Crystal system**: trigonal
**E_form**: 0.12 eV/atom
**Calculated total energy**: -82.72 eV/cell
**SG**: R-3m (166)

***

Record 4
Entry from Alexandria: a relaxed structure of Pr2Y2Er15 (PBE).

The structure in CIF format:
```
data_Pr2Y2Er15
_symmetry_space_group_name_H-M 'P 1'
_symmetry_Int_Tables_number 1
_cell_length_a 8.6828
_cell_length_b 8.6828
_cell_length_c 8.6828
_cell_angle_alpha 80.95
_cell_angle_beta 80.95
_cell_angle_gamma 80.95
loop_
_symmetry_equiv_pos_as_xyz
'x,y,z'
loop_
_atom_site_label
_atom_site_type_symbol
_atom_site_fract_x
_atom_site_fract_y
_atom_site_fract_z
Pr1 Pr 0.1684 0.1684 0.1684
Pr2 Pr 0.8316 0.8316 0.8316
Y1 Y 0.3980 0.3980 0.3980
Y2 Y 0.6020 0.6020 0.6020
Er1 Er 0.0000 0.5000 0.5000
Er2 Er 0.1369 0.1369 0.6496
Er3 Er 0.1369 0.6496 0.1369
Er4 Er 0.2007 0.5000 0.7993
Er5 Er 0.2007 0.7993 0.5000
Er6 Er 0.3504 0.8631 0.8631
Er7 Er 0.5000 0.0000 0.5000
Er8 Er 0.5000 0.2007 0.7993
Er9 Er 0.5000 0.5000 0.0000
Er10 Er 0.5000 0.7993 0.2007
Er11 Er 0.6496 0.1369 0.1369
Er12 Er 0.7993 0.2007 0.5000
Er13 Er 0.7993 0.5000 0.2007
Er14 Er 0.8631 0.3504 0.8631
Er15 Er 0.8631 0.8631 0.3504
```

Calculated values
**Crystal system**: trigonal
**E_form**: 0.27 eV/atom
**Calculated total energy**: -85.71 eV/cell
**SG**: R-3m (166)

***

Record 5
Entry from Alexandria: a relaxed structure of Pr4Y3Er2 (PBE).

The structure in CIF format:
```
data_Pr4Y3Er2
_symmetry_space_group_name_H-M 'P 1'
_symmetry_Int_Tables_number 1
_cell_length_a 9.8906
_cell_length_b 9.8906
_cell_length_c 7.1521
_cell_angle_alpha 90.00
_cell_angle_beta 90.00
_cell_angle_gamma 120.23
loop_
_symmetry_equiv_pos_as_xyz
'x,y,z'
loop_
_atom_site_label
_atom_site_type_symbol
_atom_site_fract_x
_atom_site_fract_y
_atom_site_fract_z
Pr1 Pr 0.1521 0.1780 0.0000
Pr2 Pr 0.1538 0.4763 0.5000
Pr3 Pr 0.1780 0.1521 0.5000
Pr4 Pr 0.4763 0.1538 0.0000
Pr5 Pr 0.5237 0.8462 0.0000
Pr6 Pr 0.8220 0.8479 0.5000
Pr7 Pr 0.8462 0.5237 0.5000
Pr8 Pr 0.8479 0.8220 0.0000
Y1 Y 0.1714 0.8286 0.2500
Y2 Y 0.1714 0.8286 0.7500
Y3 Y 0.5000 0.5000 0.2500
Y4 Y 0.5000 0.5000 0.7500
Y5 Y 0.8286 0.1714 0.2500
Y6 Y 0.8286 0.1714 0.7500
Er1 Er 0.1773 0.5233 0.0000
Er2 Er 0.4767 0.8227 0.5000
Er3 Er 0.5233 0.1773 0.5000
Er4 Er 0.8227 0.4767 0.0000
```

Calculated values
**Crystal system**: orthorhombic
**E_form**: 0.04 eV/atom
**Calculated total energy**: -94.46 eV/cell
**SG**: Cccm (66)

***

Record 6
Entry from Alexandria: a relaxed structure of Pr3Y7Er (PBE).

The structure in CIF format:
```
data_Pr3Y7Er
_symmetry_space_group_name_H-M 'P 1'
_symmetry_Int_Tables_number 1
_cell_length_a 7.1396
_cell_length_b 7.1396
_cell_length_c 8.7340
_cell_angle_alpha 90.00
_cell_angle_beta 90.00
_cell_angle_gamma 120.00
loop_
_symmetry_equiv_pos_as_xyz
'x,y,z'
loop_
_atom_site_label
_atom_site_type_symbol
_atom_site_fract_x
_atom_site_fract_y
_atom_site_fract_z
Pr1 Pr 0.0007 0.5003 0.0000
Pr2 Pr 0.4997 0.5003 0.0000
Pr3 Pr 0.4997 0.9993 0.0000
Y1 Y 0.1677 0.3353 0.3387
Y2 Y 0.1677 0.8323 0.3387
Y3 Y 0.3347 0.1673 0.6637
Y4 Y 0.6647 0.8323 0.3387
Y5 Y 0.6667 0.3333 0.3391
Y6 Y 0.8327 0.1673 0.6637
Y7 Y 0.8327 0.6653 0.6637
Er1 Er 0.3333 0.6667 0.6619
```

Calculated values
**Crystal system**: trigonal
**E_form**: 0.17 eV/atom
**Calculated total energy**: -62.23 eV/cell
**SG**: P3m1 (156)

***

Record 7
Entry from Alexandria: a relaxed structure of Pr4YEr2 (PBE).

The structure in CIF format:
```
data_Pr4YEr2
_symmetry_space_group_name_H-M 'P 1'
_symmetry_Int_Tables_number 1
_cell_length_a 12.6632
_cell_length_b 6.8568
_cell_length_c 13.6448
_cell_angle_alpha 67.09
_cell_angle_beta 29.92
_cell_angle_gamma 82.99
loop_
_symmetry_equiv_pos_as_xyz
'x,y,z'
loop_
_atom_site_label
_atom_site_type_symbol
_atom_site_fract_x
_atom_site_fract_y
_atom_site_fract_z
Pr1 Pr 0.1461 0.2951 0.0662
Pr2 Pr 0.1838 0.7573 0.1039
Pr3 Pr 0.2951 0.1461 0.4927
Pr4 Pr 0.3772 0.6228 0.4812
Pr5 Pr 0.6228 0.3772 0.5188
Pr6 Pr 0.7312 0.7688 0.6272
Pr7 Pr 0.7573 0.1838 0.9549
Pr8 Pr 0.7688 0.7312 0.8728
Y1 Y 0.0037 0.0037 0.9963
Y2 Y 0.2537 0.2537 0.2463
Er1 Er 0.2041 0.6851 0.3634
Er2 Er 0.5025 0.8866 0.5649
Er3 Er 0.6851 0.2041 0.7475
Er4 Er 0.8866 0.5025 0.0459
```

Calculated values
**Crystal system**: orthorhombic
**E_form**: 0.06 eV/atom
**Calculated total energy**: -68.57 eV/cell
**SG**: Fdd2 (43)

***

Record 8
Entry from Alexandria: a relaxed structure of Pr2Y3Er7 (PBE).

The structure in CIF format:
```
data_Pr2Y3Er7
_symmetry_space_group_name_H-M 'P 1'
_symmetry_Int_Tables_number 1
_cell_length_a 19.0603
_cell_length_b 19.0603
_cell_length_c 3.6208
_cell_angle_alpha 90.00
_cell_angle_beta 90.00
_cell_angle_gamma 162.87
loop_
_symmetry_equiv_pos_as_xyz
'x,y,z'
loop_
_atom_site_label
_atom_site_type_symbol
_atom_site_fract_x
_atom_site_fract_y
_atom_site_fract_z
Pr1 Pr 0.1466 0.8534 0.0000
Pr2 Pr 0.8534 0.1466 0.0000
Y1 Y 0.3137 0.6863 0.5000
Y2 Y 0.5000 0.5000 0.5000
Y3 Y 0.6863 0.3137 0.5000
Er1 Er 0.0000 0.0000 0.0000
Er2 Er 0.0702 0.9298 0.5000
Er3 Er 0.2304 0.7696 0.0000
Er4 Er 0.4116 0.5884 0.0000
Er5 Er 0.5884 0.4116 0.0000
Er6 Er 0.7696 0.2304 0.0000
Er7 Er 0.9298 0.0702 0.5000
```

Calculated values
**Crystal system**: orthorhombic
**E_form**: 0.11 eV/atom
**Calculated total energy**: -59.58 eV/cell
**SG**: Cmmm (65)

***

Question: Which value of E_form does entry 8 give?
Answer: 0.11 eV/atom

***

Question: What is the formula in the fifth record?
Answer: Pr4Y3Er2